[1]
## MgCd2Hg (GGA-PBEsol)

Data for a geometry-optimized MgCd2Hg structure.

Computed properties:
For the volume, the calculation gives 21.4 Å³ per atom. The total magnetic moment is 0.000 μB/f.u. The value obtained for the energy above the most stable polymorph in this dataset is 0.44 kcal/mol of atoms. The calculation puts the formation energy at -0.0951 eV/atom.

abc: 3.211 5.272 5.063
angles: 90.00 93.03 90.00
Positions (direct):
Mg (0.000, 0.000, 0.000)
Cd (0.270, 0.500, 0.245)
Cd (0.730, 0.500, 0.755)
Hg (0.500, 0.000, 0.500)

[2]
## MgCd2Hg (GGA-PBEsol)

Data for a geometry-optimized MgCd2Hg structure.

Computed properties:
For the volume, the calculation gives 21.6 Å³ per atom. The total magnetic moment is 0.000 μB/f.u. The value obtained for the energy above the most stable polymorph in this dataset is 0.59 kcal/mol of atoms. The calculation puts the formation energy at -0.0887 eV/atom.

abc: 4.896 4.896 3.781
angles: 90.00 90.00 107.75
Positions (direct):
Mg (0.000, 0.000, 0.000)
Cd (0.000, 0.500, 0.500)
Cd (0.500, 0.000, 0.500)
Hg (0.500, 0.500, 0.000)

[3]
## MgCd2Hg (GGA-PBEsol)

Data for a geometry-optimized MgCd2Hg structure.

Computed properties:
For the volume, the calculation gives 21.6 Å³ per atom. The total magnetic moment is 0.000 μB/f.u. The value obtained for the energy above the most stable polymorph in this dataset is 1.65 kcal/mol of atoms. The calculation puts the formation energy at -0.0429 eV/atom.

abc: 9.631 9.631 9.631
angles: 19.42 19.42 19.42
Positions (direct):
Mg (0.000, 0.000, 0.000)
Cd (0.250, 0.250, 0.250)
Cd (0.750, 0.750, 0.750)
Hg (0.500, 0.500, 0.500)

[4]
## MgCd2Hg (GGA-PBEsol)

Data for a geometry-optimized MgCd2Hg structure.

Computed properties:
For the volume, the calculation gives 21.4 Å³ per atom. The total magnetic moment is 0.000 μB/f.u. The value obtained for the energy above the most stable polymorph in this dataset is 0.77 kcal/mol of atoms. The calculation puts the formation energy at -0.0808 eV/atom.

abc: 9.467 9.467 9.467
angles: 19.86 19.86 19.86
Positions (direct):
Mg (0.000, 0.000, 0.000)
Cd (0.501, 0.501, 0.501)
Cd (0.750, 0.750, 0.750)
Hg (0.253, 0.253, 0.253)

[5]
## MgCd2Hg (GGA-PBEsol)

Data for a geometry-optimized MgCd2Hg structure.

Computed properties:
For the volume, the calculation gives 21.0 Å³ per atom. The total magnetic moment is 0.000 μB/f.u. The value obtained for the energy above the most stable polymorph in this dataset is 0.15 kcal/mol of atoms. The calculation puts the formation energy at -0.1078 eV/atom.

abc: 5.456 5.456 5.456
angles: 133.54 133.54 67.80
Positions (direct):
Mg (0.000, 0.000, 0.000)
Cd (0.250, 0.750, 0.500)
Cd (0.750, 0.250, 0.500)
Hg (0.500, 0.500, 0.000)

[6]
## MgCd2Hg (GGA-PBEsol)

Data for a geometry-optimized MgCd2Hg structure.

Computed properties:
For the volume, the calculation gives 21.0 Å³ per atom. The total magnetic moment is 0.000 μB/f.u. The value obtained for the energy above the most stable polymorph in this dataset is 0.52 kcal/mol of atoms. The calculation puts the formation energy at -0.0920 eV/atom.

abc: 3.550 3.550 6.665
angles: 90.00 90.00 90.00
Positions (direct):
Mg (0.000, 0.000, 0.000)
Cd (0.000, 0.000, 0.507)
Cd (0.500, 0.500, 0.256)
Hg (0.500, 0.500, 0.771)

[7]
## Mg2CdHg (GGA-PBEsol)

Data for a geometry-optimized Mg2CdHg structure.

Computed properties:
For the volume, the calculation gives 20.4 Å³ per atom. The total magnetic moment is 0.000 μB/f.u. The value obtained for the energy above the most stable polymorph in this dataset is 0.00 kcal/mol of atoms. The calculation puts the formation energy at -0.2108 eV/atom.

abc: 4.811 4.811 3.527
angles: 90.00 90.00 90.00
Positions (direct):
Mg (0.000, 0.500, 0.000)
Mg (0.500, 0.000, 0.000)
Cd (0.000, 0.000, 0.500)
Hg (0.500, 0.500, 0.500)

[8]
## MgCd2Hg (GGA-PBEsol)

Data for a geometry-optimized MgCd2Hg structure.

Computed properties:
For the volume, the calculation gives 21.5 Å³ per atom. The total magnetic moment is 0.000 μB/f.u. The value obtained for the energy above the most stable polymorph in this dataset is 0.48 kcal/mol of atoms. The calculation puts the formation energy at -0.0933 eV/atom.

abc: 6.155 6.155 3.164
angles: 103.94 103.94 123.57
Positions (direct):
Mg (0.000, 0.000, 0.000)
Cd (0.000, 0.500, 0.000)
Cd (0.500, 0.000, 0.000)
Hg (0.500, 0.500, 0.000)

[9]
## Mg2CdHg (GGA-PBEsol)

Data for a geometry-optimized Mg2CdHg structure.

Computed properties:
For the volume, the calculation gives 20.9 Å³ per atom. The total magnetic moment is 0.000 μB/f.u. The value obtained for the energy above the most stable polymorph in this dataset is 1.18 kcal/mol of atoms. The calculation puts the formation energy at -0.1597 eV/atom.

abc: 5.625 5.625 5.625
angles: 139.95 132.23 64.05
Positions (direct):
Mg (0.000, 0.000, 0.000)
Mg (0.739, 0.239, 0.500)
Cd (0.254, 0.754, 0.500)
Hg (0.498, 0.498, 0.000)

[10]
## Mg2CdHg (GGA-PBEsol)

Data for a geometry-optimized Mg2CdHg structure.

Computed properties:
For the volume, the calculation gives 21.4 Å³ per atom. The total magnetic moment is 0.000 μB/f.u. The value obtained for the energy above the most stable polymorph in this dataset is 2.54 kcal/mol of atoms. The calculation puts the formation energy at -0.1008 eV/atom.

abc: 3.214 3.214 8.290
angles: 90.00 90.00 90.00
Positions (direct):
Mg (0.000, 0.000, 0.000)
Mg (0.500, 0.500, 0.272)
Cd (0.000, 0.000, 0.515)
Hg (0.500, 0.500, 0.770)

[11]
## MgCd2Hg (GGA-PBEsol)

Data for a geometry-optimized MgCd2Hg structure.

Computed properties:
For the volume, the calculation gives 20.9 Å³ per atom. The total magnetic moment is 0.000 μB/f.u. The value obtained for the energy above the most stable polymorph in this dataset is 0.64 kcal/mol of atoms. The calculation puts the formation energy at -0.0868 eV/atom.

abc: 4.907 4.907 4.907
angles: 60.00 60.00 60.00
Positions (direct):
Mg (0.000, 0.000, 0.000)
Cd (0.250, 0.250, 0.250)
Cd (0.500, 0.500, 0.500)
Hg (0.750, 0.750, 0.750)

[12]
## MgCd2Hg (GGA-PBEsol)

Data for a geometry-optimized MgCd2Hg structure.

Computed properties:
For the volume, the calculation gives 21.3 Å³ per atom. The total magnetic moment is 0.000 μB/f.u. The value obtained for the energy above the most stable polymorph in this dataset is 0.70 kcal/mol of atoms. The calculation puts the formation energy at -0.0841 eV/atom.

abc: 5.961 5.961 5.961
angles: 146.53 132.69 59.19
Positions (direct):
Mg (0.000, 0.000, 0.000)
Cd (0.251, 0.751, 0.500)
Cd (0.749, 0.249, 0.500)
Hg (0.500, 0.500, 0.000)